No. 1
4
Lattice="4.067 0.000 0.000 0.000 4.067 0.000 0.000 0.000 4.067" Properties=species:S:1:pos:R:3 comment="ThRh3 (PBEsol, relaxed)" energy_ev_per_cell=-35.22 pbc="T T T"
Th 0.000 0.000 0.000
Rh 0.000 2.034 2.034
Rh 2.034 0.000 2.034
Rh 2.034 2.034 0.000



No. 2
10
Lattice="4.407 0.000 0.000 0.000 4.407 0.000 0.000 0.000 10.823" Properties=species:S:1:pos:R:3 comment="NaCd2Si2 (PBEsol, relaxed)" raw_formation_energy_ev_per_atom=0.0405 pbc="T T T"
Na 0.000 0.000 0.000
Na 2.203 2.203 5.411
Cd 0.000 2.203 2.706
Cd 0.000 2.203 8.117
Cd 2.203 0.000 2.706
Cd 2.203 0.000 8.117
Si 0.000 0.000 4.261
Si 0.000 0.000 6.561
Si 2.203 2.203 1.150
Si 2.203 2.203 9.673



No. 3
16
Lattice="5.544 0.000 0.000 0.000 5.544 0.000 0.000 0.000 11.383" Properties=species:S:1:pos:R:3 comment="LaYF2 (PBEsol, relaxed)" raw_formation_energy_ev_per_atom=-2.3336 pbc="T T T"
La 0.000 0.000 0.000
La 0.000 2.772 2.846
La 2.772 0.000 8.537
La 2.772 2.772 5.691
Y 0.000 0.000 5.691
Y 0.000 2.772 8.537
Y 2.772 0.000 2.846
Y 2.772 2.772 0.000
F 1.179 1.386 7.114
F 1.386 3.951 9.960
F 1.386 4.365 4.268
F 1.593 1.386 1.423
F 3.951 4.158 1.423
F 4.158 1.179 4.268
F 4.158 1.593 9.960
F 4.365 4.158 7.114



No. 4
16
Lattice="6.555 0.000 0.000 0.000 6.555 0.000 0.000 0.000 7.704" Properties=species:S:1:pos:R:3 comment="Pt2SeBr (PBEsol, relaxed)" raw_formation_energy_ev_per_atom=0.2839 pbc="T T T"
Pt 1.451 4.916 0.963
Pt 1.639 1.451 6.741
Pt 1.639 1.827 2.889
Pt 1.827 4.916 4.815
Pt 4.728 1.639 4.815
Pt 4.916 4.728 2.889
Pt 4.916 5.105 6.741
Pt 5.105 1.639 0.963
Se 0.000 0.000 0.000
Se 0.000 3.278 1.926
Se 3.278 0.000 5.778
Se 3.278 3.278 3.852
Br 0.000 0.000 3.852
Br 0.000 3.278 5.778
Br 3.278 0.000 1.926
Br 3.278 3.278 0.000



No. 5
8
Lattice="8.737 0.000 0.000 0.000 2.635 0.000 -0.793 0.000 4.449" Properties=species:S:1:pos:R:3 comment="CoOsRh2 (PBEsol, relaxed)" energy_ev_per_cell=-71.86 pbc="T T T"
Co 0.000 0.000 0.000
Co 4.369 1.318 0.000
Os -0.396 1.318 2.225
Os 3.972 0.000 2.225
Rh 1.976 1.318 1.100
Rh 1.600 0.000 3.350
Rh 6.344 0.000 1.100
Rh 5.968 1.318 3.350



No. 6
16
Lattice="8.903 0.000 0.000 0.000 9.028 0.000 0.000 0.000 4.448" Properties=species:S:1:pos:R:3 comment="Zr5Sc3 (PBEsol, relaxed)" energy_ev_per_cell=-130.11 pbc="T T T"
Zr 0.000 0.000 0.000
Zr 0.000 2.203 2.224
Zr 0.000 6.826 2.224
Zr 2.226 2.257 0.000
Zr 2.226 6.771 0.000
Zr 4.451 2.311 2.224
Zr 4.451 4.514 0.000
Zr 4.451 6.717 2.224
Zr 6.677 2.257 0.000
Zr 6.677 6.771 0.000
Sc 0.000 4.514 0.000
Sc 2.218 0.000 2.224
Sc 2.233 4.514 2.224
Sc 4.451 0.000 0.000
Sc 6.670 4.514 2.224
Sc 6.684 0.000 2.224



No. 7
8
Lattice="3.335 0.000 0.000 0.000 4.786 0.000 0.000 0.000 10.163" Properties=species:S:1:pos:R:3 comment="SrMgW2 (PBEsol, relaxed)" energy_ev_per_cell=-56.71 pbc="T T T"
Sr 0.000 0.000 0.000
Sr 1.668 2.393 0.000
Mg 0.000 2.393 3.110
Mg 1.668 0.000 3.110
W 0.000 0.000 5.474
W 0.000 2.393 7.433
W 1.668 0.000 7.433
W 1.668 2.393 5.474



No. 8
16
Lattice="5.019 0.000 0.000 -2.510 4.347 0.000 0.000 0.000 8.079" Properties=species:S:1:pos:R:3 comment="Fe3Re (PBEsol, relaxed)" energy_ev_per_cell=-161.24 pbc="T T T"
Fe -1.255 2.173 0.000
Fe -1.255 2.173 4.039
Fe 0.000 1.487 2.020
Fe -1.222 3.603 2.020
Fe 1.288 0.743 6.059
Fe 2.510 0.000 0.000
Fe 2.510 0.000 4.039
Fe 1.255 2.173 0.000
Fe 1.255 2.173 4.039
Fe 1.222 3.603 2.020
Fe 3.731 0.743 6.059
Fe 2.510 2.860 6.059
Re 0.000 0.000 0.000
Re 0.000 0.000 4.039
Re 0.000 2.898 6.059
Re 2.510 1.449 2.020